A plane-wave DFT calculation with PBE was carried out for an optimized crystal structure of Zr2ScPb.

```
data_Zr2ScPb
_cell_length_a 7.160
_cell_length_b 7.160
_cell_length_c 7.160
_cell_angle_alpha 90.00
_cell_angle_beta 90.00
_cell_angle_gamma 90.00
_symmetry_space_group_name_H-M 'F -4 3 m'
_symmetry_Int_Tables_number 216
_symmetry_space_group_name_Hall 'F -4 2 3'
loop_
_atom_site_label
_atom_site_fract_x
_atom_site_fract_y
_atom_site_fract_z
_atom_site_occupancy
Zr1 0.000 0.000 0.000 1
Zr2 0.250 0.250 0.250 1
Sc1 0.000 0.000 0.500 1
Pb1 0.250 0.250 0.750 1
```

Results
**Formation energy**: -0.049 eV per atom